## Sr3Cd7Pt4 (PBE)

Data for a relaxed structure of Sr3Cd7Pt4.

Cell: 16.9550 4.5416 10.5495 Å, 90.00 124.74 90.00°
Closest atoms and distances in Å follow each position.
Space group C2/m (No. 12)
One atom of each set of equivalent atoms:
Sr (0.0000, 0.0000, 0.0000) x2  6 Pt 3.35-3.45, 6 Cd 3.72
Sr (0.1960, 0.5000, 0.7085) x4  4 Pt 3.19-3.25, 9 Cd 3.31-3.56
Cd (0.0000, 0.0000, 0.5000) x2  2 Pt 2.79
Cd (0.0102, 0.5000, 0.2947) x4  3 Pt 2.78-2.84, 3 Cd 3.04-3.11
Cd (0.1629, 0.0000, 0.4281) x4  3 Pt 2.84-2.86, 2 Cd 3.11
Cd (0.1805, 0.5000, 0.0192) x4  4 Pt 2.79-2.91, 1 Cd 3.04
Pt (0.1123, 0.0000, 0.8218) x4  6 Cd 2.79-2.91
Pt (0.1640, 0.5000, 0.2674) x4  5 Cd 2.78-2.86

Calculated values
Its magnetization is 0.00 μB per formula unit. The crystal system is monoclinic. As for the energy relative to the elements: -0.529 eV/atom.

***

## Sr2CdPt (PBE)

Data for a relaxed structure of Sr2CdPt.

Cell: 3.8045 3.8045 8.6914 Å, 90.00 90.00 90.00°
Closest atoms and distances in Å follow each position.
Space group P4mm (No. 99)
One atom of each set of equivalent atoms:
Sr (0.0000, 0.0000, 0.0000) x1  1 Cd 3.09, 4 Pt 3.28
Sr (0.5000, 0.5000, 0.4118) x1  1 Pt 3.24, 4 Cd 3.37
Cd (0.0000, 0.0000, 0.6450) x1  4 Pt 2.95, 1 Sr 3.09
Pt (0.5000, 0.5000, 0.7845) x1  4 Cd 2.95, 5 Sr 3.24-3.28

Calculated values
Its magnetization is 0.00 μB per formula unit. The crystal system is tetragonal. As for the energy relative to the elements: -0.359 eV/atom.

***

## SrCdPt3 (PBE)

Data for a relaxed structure of SrCdPt3.

Cell: 5.2203 5.2203 5.2203 Å, 90.00 90.00 90.00°
Closest atoms and distances in Å follow each position.
Space group Pm-3m (No. 221)
One atom of each set of equivalent atoms:
Sr (0.0000, 0.0000, 0.0000) x1  6 Pt 2.61
Cd (0.5000, 0.5000, 0.5000) x1  12 Pt 3.69
Pt (0.0000, 0.0000, 0.5000) x3  2 Sr 2.61

Calculated values
Its magnetization is 0.00 μB per formula unit. As for the energy relative to the lowest polymorph listed for this composition: 1012 meV per atom. The crystal system is cubic. As for the energy relative to the elements: 1.292 eV/atom.

***

## Sr2CdPt (PBE)

Data for a relaxed structure of Sr2CdPt.

Cell: 4.6424 4.6424 10.4466 Å, 90.00 90.00 90.00°
Closest atoms and distances in Å follow each position.
Space group I-4m2 (No. 119)
One atom of each set of equivalent atoms:
Sr (0.0000, 0.0000, 0.0000) x2  4 Pt 3.28, 4 Sr 3.49, 4 Cd 3.49
Sr (0.0000, 0.5000, 0.2500) x2  4 Cd 3.28, 4 Sr 3.49, 4 Pt 3.49
Cd (0.0000, 0.5000, 0.7500) x2  8 Sr 3.28-3.49, 4 Pt 3.49
Pt (0.0000, 0.0000, 0.5000) x2  8 Sr 3.28-3.49, 4 Cd 3.49

Calculated values
Its magnetization is 0.00 μB per formula unit. The crystal system is tetragonal. As for the energy relative to the elements: -0.328 eV/atom.